Entry 1:
Material: Mg4Ir
Method: DFT, PBE
State: relaxed

The space group is I4/m (No. 87) and the conventional cell measures 6.5655, 6.5655 and 4.2184 Å, with angles of 90.00, 90.00 and 90.00 degrees. The asymmetric unit holds Mg at (0.1111, 0.7145, 0.0000) and Ir at (0.0000, 0.0000, 0.5000).

The calculated formation energy comes out at -0.204 eV per atom.

***

Entry 2:
Material: MnW3N
Method: DFT, PBE
State: relaxed

The space group is Pm-3m (No. 221) and the conventional cell measures 4.0765, 4.0765 and 4.0765 Å, with angles of 90.00, 90.00 and 90.00 degrees. The asymmetric unit holds Mn at (0.0000, 0.0000, 0.0000), W at (0.0000, 0.5000, 0.5000) and N at (0.5000, 0.5000, 0.5000).

For the energy above the most stable polymorph in this dataset, the calculation gives 0.000 eV/f.u. The value obtained for the raw formation energy is 0.203 eV/atom.

***

Entry 3:
Material: YMgS2N
Method: DFT, PBE
State: relaxed

The space group is P4/mmm (No. 123) and the conventional cell measures 4.8500, 4.8500 and 3.9611 Å, with angles of 90.00, 90.00 and 90.00 degrees. The asymmetric unit holds Y at (0.0000, 0.0000, 0.0000), Mg at (0.5000, 0.5000, 0.5000), S at (0.0000, 0.5000, 0.5000) and N at (0.5000, 0.5000, 0.0000).

For the energy above the most stable polymorph in this dataset, the calculation gives 0.000 eV/f.u. The value obtained for the raw formation energy is -0.459 eV/atom.

***

Entry 4:
Material: NaMgAgPt
Method: DFT, PBE
State: relaxed

The space group is F-43m (No. 216) and the conventional cell measures 6.6209, 6.6209 and 6.6209 Å, with angles of 90.00, 90.00 and 90.00 degrees. The asymmetric unit holds Na at (0.0000, 0.0000, 0.0000), Mg at (0.2500, 0.2500, 0.2500), Ag at (0.2500, 0.2500, 0.7500) and Pt at (0.0000, 0.0000, 0.5000).

The calculated formation energy comes out at -0.257 eV per atom.

***

Entry 5:
Material: Ba2USe4
Method: DFT, PBE
State: relaxed

The space group is Pbam (No. 55) and the conventional cell measures 8.0961, 12.9939 and 4.5143 Å, with angles of 90.00, 90.00 and 90.00 degrees. The asymmetric unit holds Ba at (0.0837, 0.1804, 0.0000), U at (0.0000, 0.5000, 0.5000), Se at (0.1306, 0.6989, 0.5000) and Se at (0.2160, 0.4493, 0.0000).

For the energy above the most stable polymorph in this dataset, the calculation gives 0.000 eV/f.u. The value obtained for the raw formation energy is -1.681 eV/atom.

***

Entry 6:
Material: CsK2P
Method: DFT, PBE
State: relaxed

The space group is P2_1/c (No. 14) and the conventional cell measures 9.9539, 8.1625 and 10.9560 Å, with angles of 90.00, 108.71 and 90.00 degrees. The asymmetric unit holds Cs at (0.0535, 0.0153, 0.2117), K at (0.2964, 0.6335, 0.1281), K at (0.3378, 0.1987, 0.0068) and P at (0.0360, 0.1287, 0.5205).

The calculated formation energy comes out at -0.161 eV per atom.

***

Entry 7:
Material: MgNbZnRh
Method: DFT, PBE
State: relaxed

The space group is F-43m (No. 216) and the conventional cell measures 6.3459, 6.3459 and 6.3459 Å, with angles of 90.00, 90.00 and 90.00 degrees. The asymmetric unit holds Mg at (0.0000, 0.0000, 0.0000), Nb at (0.0000, 0.0000, 0.5000), Zn at (0.2500, 0.2500, 0.2500) and Rh at (0.2500, 0.2500, 0.7500).

The calculated formation energy comes out at -0.299 eV per atom.

***

Entry 8:
Material: LaTb2DyTm4
Method: DFT, PBE
State: relaxed

The space group is Pm (No. 6) and the conventional cell measures 7.1077, 9.9376 and 7.1249 Å, with angles of 90.00, 90.07 and 90.00 degrees. The asymmetric unit holds La at (0.0000, 0.0000, 0.0000), La at (0.9997, 0.0000, 0.4995), Tb at (0.9999, 0.5000, 0.5002), Tb at (0.4997, 0.0000, 0.5000), Tb at (0.4998, 0.5000, 0.9997), Tb at (0.4999, 0.5000, 0.5001), Dy at (0.9998, 0.5000, 0.0000), Dy at (0.4999, 0.0000, 0.0002), Tm at (0.2526, 0.2530, 0.2497), Tm at (0.2526, 0.2528, 0.7502), Tm at (0.7472, 0.2531, 0.2497) and Tm at (0.7471, 0.2529, 0.7502).

The calculated formation energy comes out at 0.023 eV per atom.

***

no.,E (eV/atom)
1,-3.2521
2,-11.0675
3,-5.3865
4,-3.2083
5,-5.8338
6,-2.2755
7,-5.3715
8,-4.5615